# TbCu6O12 | Alexandria | PBE | relaxed
data_TbCu6O12
_chemical_formula_sum 'Tb1 Cu6 O12'
_space_group_name_H-M_alt 'P 1'
_space_group_IT_number 1
_cell_length_a 6.472
_cell_length_b 6.472
_cell_length_c 6.472
_cell_angle_alpha 109.47
_cell_angle_beta 109.47
_cell_angle_gamma 109.47
loop_
_space_group_symop_operation_xyz
'x,y,z'
loop_
_atom_site_label
_atom_site_type_symbol
_atom_site_fract_x
_atom_site_fract_y
_atom_site_fract_z
Tb1 Tb 0.000 0.000 0.000
Cu1 Cu 0.336 0.500 0.836
Cu2 Cu 0.664 0.500 0.164
Cu3 Cu 0.500 0.836 0.336
Cu4 Cu 0.500 0.164 0.664
Cu5 Cu 0.836 0.336 0.500
Cu6 Cu 0.164 0.664 0.500
O1 O 0.329 0.179 0.850
O2 O 0.329 0.479 0.150
O3 O 0.671 0.521 0.850
O4 O 0.671 0.821 0.150
O5 O 0.179 0.850 0.329
O6 O 0.479 0.150 0.329
O7 O 0.521 0.850 0.671
O8 O 0.821 0.150 0.671
O9 O 0.850 0.329 0.179
O10 O 0.150 0.329 0.479
O11 O 0.850 0.671 0.521
O12 O 0.150 0.671 0.821
# Electronic total energy   -93.552 eV/cell
# Volume   10.985 A^3/atom
# Formation energy from raw total energies   -0.26 eV/atom